A plane-wave DFT calculation with PBE was carried out for a relaxed Mg12Sb3H5 crystal.

CIF file:
```
data_Mg12Sb3H5
_chemical_formula_sum 'Mg96 Sb24 H40'
_cell_length_a 14.4891
_cell_length_b 14.4891
_cell_length_c 14.4891
_cell_angle_alpha 90.00
_cell_angle_beta 90.00
_cell_angle_gamma 90.00
_symmetry_space_group_name_H-M 'I a -3 d'
_symmetry_Int_Tables_number 230
_symmetry_space_group_name_Hall '-I 4bd 2c 3'
loop_
_atom_site_label
_atom_site_fract_x
_atom_site_fract_y
_atom_site_fract_z
Mg1 0.0468 0.0489 0.6453
Sb1 0.0000 0.2500 0.1250
H1 0.0000 0.0000 0.0000
H2 0.0000 0.2500 0.3750
```

Results
* crystal system: cubic
* VASP energy: -2.433 eV per atom
* mass density: 2891 kg/m3

***

A plane-wave DFT calculation with PBE was carried out for a relaxed TaB2P crystal.

CIF file:
```
data_TaB2P
_chemical_formula_sum 'Ta4 B8 P4'
_cell_length_a 5.6251
_cell_length_b 5.6251
_cell_length_c 5.7712
_cell_angle_alpha 90.00
_cell_angle_beta 90.00
_cell_angle_gamma 90.00
_symmetry_space_group_name_H-M 'I -4 2 d'
_symmetry_Int_Tables_number 122
_symmetry_space_group_name_Hall 'I -4 2bw'
loop_
_atom_site_label
_atom_site_fract_x
_atom_site_fract_y
_atom_site_fract_z
Ta1 0.0000 0.0000 0.0000
B1 0.1861 0.2500 0.6250
P1 0.0000 0.0000 0.5000
```

Results
* crystal system: tetragonal
* VASP energy: -7.436 eV per atom
* mass density: 8495 kg/m3

***

A plane-wave DFT calculation with PBE was carried out for a relaxed Ac2La2Sn2Ir crystal.

CIF file:
```
data_Ac2La2Sn2Ir
_chemical_formula_sum 'Ac4 La4 Sn4 Ir2'
_cell_length_a 5.3860
_cell_length_b 5.3860
_cell_length_c 17.7803
_cell_angle_alpha 90.00
_cell_angle_beta 90.00
_cell_angle_gamma 90.00
_symmetry_space_group_name_H-M 'I 4/m m m'
_symmetry_Int_Tables_number 139
_symmetry_space_group_name_Hall '-I 4 2'
loop_
_atom_site_label
_atom_site_fract_x
_atom_site_fract_y
_atom_site_fract_z
Ac1 0.0000 0.0000 0.1773
La1 0.0000 0.5000 0.0000
Sn1 0.0000 0.0000 0.3668
Ir1 0.0000 0.0000 0.0000
```

Results
* crystal system: tetragonal
* VASP energy: -5.622 eV per atom
* mass density: 7478 kg/m3

***

A plane-wave DFT calculation with PBE was carried out for a relaxed K2HgBi4Au3 crystal.

CIF file:
```
data_K2HgBi4Au3
_chemical_formula_sum 'K2 Hg1 Bi4 Au3'
_cell_length_a 5.0754
_cell_length_b 5.0754
_cell_length_c 11.8390
_cell_angle_alpha 90.00
_cell_angle_beta 90.00
_cell_angle_gamma 90.00
_symmetry_space_group_name_H-M 'P -4 m 2'
_symmetry_Int_Tables_number 115
_symmetry_space_group_name_Hall 'P -4 -2'
loop_
_atom_site_label
_atom_site_fract_x
_atom_site_fract_y
_atom_site_fract_z
K1 0.0000 0.5000 0.2428
Hg1 0.5000 0.5000 0.0000
Bi1 0.0000 0.0000 0.5000
Bi2 0.0000 0.5000 0.8651
Bi3 0.5000 0.5000 0.5000
Au1 0.0000 0.0000 0.0000
Au2 0.0000 0.5000 0.6287
```

Results
* crystal system: tetragonal
* VASP energy: -3.000 eV per atom
* mass density: 9287 kg/m3

***

A plane-wave DFT calculation with PBE was carried out for a relaxed LiBe2Ni crystal.

CIF file:
```
data_LiBe2Ni
_chemical_formula_sum 'Li2 Be4 Ni2'
_cell_length_a 3.3514
_cell_length_b 3.3514
_cell_length_c 6.7415
_cell_angle_alpha 90.00
_cell_angle_beta 90.00
_cell_angle_gamma 90.00
_symmetry_space_group_name_H-M 'I -4 m 2'
_symmetry_Int_Tables_number 119
_symmetry_space_group_name_Hall 'I -4 -2'
loop_
_atom_site_label
_atom_site_fract_x
_atom_site_fract_y
_atom_site_fract_z
Li1 0.0000 0.0000 0.0000
Be1 0.0000 0.0000 0.5000
Be2 0.0000 0.5000 0.2500
Ni1 0.0000 0.5000 0.7500
```

Results
* crystal system: tetragonal
* VASP energy: -3.807 eV per atom
* mass density: 3669 kg/m3

***

A plane-wave DFT calculation with PBE was carried out for a relaxed InIr2C2 crystal.

CIF file:
```
data_InIr2C2
_chemical_formula_sum 'In2 Ir4 C4'
_cell_length_a 7.1051
_cell_length_b 7.1051
_cell_length_c 2.7933
_cell_angle_alpha 90.00
_cell_angle_beta 90.00
_cell_angle_gamma 90.00
_symmetry_space_group_name_H-M 'P 4/m b m'
_symmetry_Int_Tables_number 127
_symmetry_space_group_name_Hall '-P 4 2ab'
loop_
_atom_site_label
_atom_site_fract_x
_atom_site_fract_y
_atom_site_fract_z
In1 0.0000 0.0000 0.0000
Ir1 0.1292 0.3708 0.0000
C1 0.1087 0.6087 0.5000
```

Results
* crystal system: tetragonal
* mass density: 12324 kg/m3
* relative energy among the computed polymorphs: 729 meV/atom

***

A plane-wave DFT calculation with PBE was carried out for a relaxed Na3BMo crystal.

CIF file:
```
data_Na3BMo
_chemical_formula_sum 'Na3 B1 Mo1'
_cell_length_a 5.1040
_cell_length_b 5.1040
_cell_length_c 5.1040
_cell_angle_alpha 90.00
_cell_angle_beta 90.00
_cell_angle_gamma 90.00
_symmetry_space_group_name_H-M 'P m -3 m'
_symmetry_Int_Tables_number 221
_symmetry_space_group_name_Hall '-P 4 2 3'
loop_
_atom_site_label
_atom_site_fract_x
_atom_site_fract_y
_atom_site_fract_z
Na1 0.0000 0.0000 0.5000
B1 0.0000 0.0000 0.0000
Mo1 0.5000 0.5000 0.5000
```

Results
* crystal system: cubic
* mass density: 2195 kg/m3
* relative energy among the computed polymorphs: 0 meV/atom

***

A plane-wave DFT calculation with PBE was carried out for a relaxed AcSmSe2S crystal.

CIF file:
```
data_AcSmSe2S
_chemical_formula_sum 'Ac2 Sm2 Se4 S2'
_cell_length_a 4.3582
_cell_length_b 4.3582
_cell_length_c 15.1706
_cell_angle_alpha 90.00
_cell_angle_beta 90.00
_cell_angle_gamma 90.00
_symmetry_space_group_name_H-M 'P 4/n m m'
_symmetry_Int_Tables_number 129
loop_
_symmetry_equiv_pos_as_xyz
'x,y,z'
'-x,-y,-z'
'-y+1/2,x,z'
'y+1/2,-x,-z'
'-x+1/2,-y+1/2,z'
'x+1/2,y+1/2,-z'
'y,-x+1/2,z'
'-y,x+1/2,-z'
'x+1/2,-y,-z'
'-x+1/2,y,z'
'-y,-x,-z'
'y,x,z'
'-x,y+1/2,-z'
'x,-y+1/2,z'
'y+1/2,x+1/2,-z'
'-y+1/2,-x+1/2,z'
loop_
_atom_site_label
_atom_site_fract_x
_atom_site_fract_y
_atom_site_fract_z
Ac1 0.2500 0.2500 0.1269
Sm1 0.2500 0.2500 0.6059
Se1 0.2500 0.2500 0.4059
Se2 0.2500 0.2500 0.7885
S1 0.2500 0.7500 0.0000
```

Results
* crystal system: tetragonal
* mass density: 6539 kg/m3
* formation energy without anion corrections: -1.8268 eV per atom